VASP calculation (GGA-PBE) on crystalline FeMoOs at its relaxed geometry.

The energy above the most stable polymorph in this dataset is 0.713 eV per atom. The energy relative to the elements comes out at 0.84 eV/atom. Its energy is -9.33 eV/atom.

The space group is Pmmm (No. 47) and the conventional cell measures 3.270, 3.800 and 3.824 Å, with angles of 90.00, 90.00 and 90.00 degrees. Symmetry generates all atoms from Fe at (0.000, 0.000, 0.000), Mo at (0.500, 0.000, 0.500) and Os at (0.500, 0.500, 0.000).